# 1
Compound: DyZn11Ag
Source: the Alexandria database
Functional: PBE
Structure: relaxed

abc: 5.3146 12.5761 6.8183
angles: 90.00 112.59 90.00
Closest atoms and distances in Å follow each position.
Space group C2/m (No. 12)
Symmetry-distinct sites (fractional):
1 Dy 0.0000 0.0000 0.0000 (multiplicity 2)  18 Zn 3.15-3.42, 2 Ag 3.41
2 Zn 0.0000 0.5000 0.5000 (multiplicity 2)  8 Zn 2.61-2.76, 2 Ag 2.66
3 Zn 0.1007 0.3905 0.2136 (multiplicity 8)  8 Zn 2.58-2.87, 1 Ag 2.65
4 Zn 0.1809 0.1785 0.3512 (multiplicity 8)  7 Zn 2.60-2.87, 1 Ag 2.78
5 Zn 0.2500 0.2500 0.0000 (multiplicity 4)  10 Zn 2.58-2.75
6 Ag 0.0000 0.0000 0.5000 (multiplicity 2)  10 Zn 2.65-2.78

---

# 2
Compound: Dy2ZnAg
Source: the Alexandria database
Functional: PBE
Structure: relaxed

abc: 7.2093 7.2093 7.2093
angles: 90.00 90.00 90.00
Closest atoms and distances in Å follow each position.
Space group Fm-3m (No. 225)
Symmetry-distinct sites (fractional):
1 Dy 0.2500 0.2500 0.2500 (multiplicity 8)  4 Zn 3.12, 4 Ag 3.12
2 Zn 0.0000 0.0000 0.0000 (multiplicity 4)  8 Dy 3.12
3 Ag 0.0000 0.0000 0.5000 (multiplicity 4)  8 Dy 3.12

---

# 3
Compound: Dy2Zn3Ag
Source: the Alexandria database
Functional: PBE
Structure: relaxed

abc: 6.9229 9.0784 15.8116
angles: 90.00 90.00 90.00
Closest atoms and distances in Å follow each position.
Space group Fmmm (No. 69)
Symmetry-distinct sites (fractional):
1 Dy 0.2468 0.0000 0.0000 (multiplicity 8)  10 Zn 3.12-3.15, 2 Ag 3.15, 1 Dy 3.42
2 Dy 0.2500 0.2500 0.2500 (multiplicity 8)  4 Ag 3.14, 8 Zn 3.17, 2 Dy 3.46
3 Zn 0.0000 0.0000 0.3368 (multiplicity 8)  2 Zn 2.58, 1 Ag 2.68
4 Zn 0.0000 0.2456 0.4183 (multiplicity 16)  2 Zn 2.58, 1 Ag 2.68
5 Ag 0.0000 0.0000 0.1673 (multiplicity 8)  3 Zn 2.68

---

# 4
Compound: DyZn2Ag
Source: the Alexandria database
Functional: PBE
Structure: relaxed

abc: 3.3379 3.3379 6.9009
angles: 90.00 90.00 90.00
Closest atoms and distances in Å follow each position.
Space group P4/mmm (No. 123)
Symmetry-distinct sites (fractional):
1 Dy 0.0000 0.0000 0.0000 (multiplicity 1)  8 Zn 3.08, 4 Dy 3.34
2 Zn 0.5000 0.5000 0.2863 (multiplicity 2)  4 Ag 2.78, 1 Zn 2.95, 4 Dy 3.08
3 Ag 0.0000 0.0000 0.5000 (multiplicity 1)  8 Zn 2.78

---

# 5
Compound: DyZn10Ag
Source: the Alexandria database
Functional: PBE
Structure: relaxed

abc: 4.3389 5.0852 9.1494
angles: 90.00 90.00 90.00
Closest atoms and distances in Å follow each position.
Space group Pmmm (No. 47)
Symmetry-distinct sites (fractional):
1 Dy 0.0000 0.0000 0.0000 (multiplicity 1)  18 Zn 3.10-3.34
2 Zn 0.0000 0.0000 0.3448 (multiplicity 2)  9 Zn 2.59-2.90
3 Zn 0.0000 0.5000 0.1931 (multiplicity 2)  6 Zn 2.57-2.80, 1 Ag 2.81
4 Zn 0.5000 0.0000 0.5000 (multiplicity 1)  8 Zn 2.59-2.68
5 Zn 0.5000 0.2420 0.2393 (multiplicity 4)  8 Zn 2.46-2.68
6 Zn 0.5000 0.5000 0.0000 (multiplicity 1)  8 Zn 2.55-2.80
7 Ag 0.0000 0.5000 0.5000 (multiplicity 1)  6 Zn 2.81-2.91

---

# 6
Compound: DyZn2Ag9
Source: the Alexandria database
Functional: PBE
Structure: relaxed

abc: 11.2344 11.2344 7.1775
angles: 90.00 90.00 90.00
Closest atoms and distances in Å follow each position.
Space group I4_1/amd (No. 141, origin choice 2)
Symmetry-distinct sites (fractional):
1 Dy 0.0000 0.2500 0.3750 (multiplicity 4)  18 Ag 3.40-3.67
2 Zn 0.0000 0.0000 0.0000 (multiplicity 8)  10 Ag 2.71-2.95
3 Ag 0.0000 0.2500 0.8750 (multiplicity 4)  4 Zn 2.95, 8 Ag 2.97
4 Ag 0.1216 0.0515 0.6775 (multiplicity 32)  2 Zn 2.71-2.75, 6 Ag 2.73-2.97

---

# 7
Compound: DyZn2Ag2
Source: the Alexandria database
Functional: PBE
Structure: relaxed

abc: 5.0483 8.3075 9.3927
angles: 90.00 103.34 90.00
Closest atoms and distances in Å follow each position.
Space group C2/c (No. 15)
Symmetry-distinct sites (fractional):
1 Dy 0.0000 0.1647 0.2500 (multiplicity 4)  6 Zn 3.02-3.21, 8 Ag 3.07-3.33
2 Zn 0.0754 0.4962 0.3861 (multiplicity 8)  2 Zn 2.43-2.49, 1 Ag 2.68
3 Ag 0.0471 0.1617 0.9079 (multiplicity 8)  3 Zn 2.68-2.86, 2 Ag 2.78-2.89

---

# 8
Compound: DyZn5Ag2
Source: the Alexandria database
Functional: PBE
Structure: relaxed

abc: 3.5625 7.6001 10.6939
angles: 90.00 90.00 90.00
Closest atoms and distances in Å follow each position.
Space group Immm (No. 71)
Symmetry-distinct sites (fractional):
1 Dy 0.0000 0.0000 0.0000 (multiplicity 2)  4 Ag 3.17, 8 Zn 3.18
2 Zn 0.0000 0.2017 0.3753 (multiplicity 8)  3 Ag 2.61-2.73, 3 Zn 2.67-2.70
3 Zn 0.0000 0.5000 0.0000 (multiplicity 2)  8 Zn 2.70, 2 Ag 2.72
4 Ag 0.0000 0.5000 0.2543 (multiplicity 4)  7 Zn 2.61-2.73

---

# 9
Compound: DyZnAg3
Source: the Alexandria database
Functional: PBE
Structure: relaxed

abc: 4.3600 25.8663 3.7368
angles: 90.00 90.00 90.00
Closest atoms and distances in Å follow each position.
Space group Cmmm (No. 65)
Symmetry-distinct sites (fractional):
1 Dy 0.0000 0.1677 0.0000 (multiplicity 4)  4 Zn 3.12, 8 Ag 3.17-3.46
2 Zn 0.0000 0.3794 0.5000 (multiplicity 4)  5 Ag 2.56-2.72
3 Ag 0.0000 0.0577 0.5000 (multiplicity 4)  2 Zn 2.72, 5 Ag 2.87-2.98
4 Ag 0.0000 0.2804 0.5000 (multiplicity 4)  1 Zn 2.56, 2 Ag 2.69
5 Ag 0.0000 0.4481 0.0000 (multiplicity 4)  2 Zn 2.58, 5 Ag 2.69-2.87

---

# 10
Compound: Dy2Zn3Ag4
Source: the Alexandria database
Functional: PBE
Structure: relaxed

abc: 5.2577 9.2404 14.0906
angles: 90.00 90.00 90.00
Closest atoms and distances in Å follow each position.
Space group Fmmm (No. 69)
Symmetry-distinct sites (fractional):
1 Dy 0.0000 0.0000 0.1304 (multiplicity 8)  8 Ag 3.07-3.19, 6 Zn 3.21-3.23
2 Zn 0.0000 0.0000 0.5000 (multiplicity 4)  4 Zn 2.66, 4 Ag 2.84
3 Zn 0.2500 0.2500 0.0000 (multiplicity 8)  4 Zn 2.63-2.66, 4 Ag 2.87
4 Ag 0.0000 0.1607 0.3285 (multiplicity 16)  2 Ag 2.76-2.97, 3 Zn 2.84-2.87, 2 Dy 3.07

---

# 11
Compound: Dy6ZnAg5
Source: the Alexandria database
Functional: PBE
Structure: relaxed

abc: 5.1377 15.3868 7.2267
angles: 90.00 90.00 90.00
Closest atoms and distances in Å follow each position.
Space group Cmmm (No. 65)
Symmetry-distinct sites (fractional):
1 Dy 0.0000 0.0000 0.2484 (multiplicity 4)  6 Ag 3.10-3.15, 2 Zn 3.13
2 Dy 0.0000 0.3342 0.2489 (multiplicity 8)  1 Zn 3.12, 7 Ag 3.13-3.17
3 Zn 0.0000 0.5000 0.0000 (multiplicity 2)  8 Dy 3.12-3.13
4 Ag 0.0000 0.1646 0.0000 (multiplicity 4)  8 Dy 3.10-3.17
5 Ag 0.0000 0.1674 0.5000 (multiplicity 4)  8 Dy 3.14-3.15
6 Ag 0.0000 0.5000 0.5000 (multiplicity 2)  8 Dy 3.13-3.15

---

# 12
Compound: Dy11Zn9Ag4
Source: the Alexandria database
Functional: PBE
Structure: relaxed

abc: 14.3330 21.1411 3.6186
angles: 90.00 90.00 90.00
Closest atoms and distances in Å follow each position.
Space group Cmmm (No. 65)
Symmetry-distinct sites (fractional):
1 Dy 0.0000 0.0000 0.0000 (multiplicity 2)  8 Zn 3.07
2 Dy 0.0000 0.1717 0.0000 (multiplicity 4)  8 Zn 3.06-3.12
3 Dy 0.0000 0.3457 0.0000 (multiplicity 4)  4 Ag 3.06, 4 Zn 3.09
4 Dy 0.2411 0.1710 0.0000 (multiplicity 8)  2 Ag 3.04, 6 Zn 3.10-3.13, 1 Dy 3.35
5 Dy 0.2463 0.0000 0.0000 (multiplicity 4)  4 Ag 3.05, 4 Zn 3.10
6 Zn 0.0000 0.5000 0.5000 (multiplicity 2)  4 Ag 2.74
7 Zn 0.1171 0.2575 0.5000 (multiplicity 8)  8 Dy 3.06-3.13, 1 Ag 3.29, 1 Zn 3.36
8 Zn 0.1213 0.0839 0.5000 (multiplicity 8)  8 Dy 3.07-3.12, 1 Ag 3.41
9 Ag 0.1407 0.4125 0.5000 (multiplicity 8)  1 Zn 2.74, 6 Dy 3.04-3.06

---

| no. | DFT formation energy (eV/atom) | density of states at the Fermi level (states/eV/atom) |
| --- | --- | --- |
| 1 | -0.16 | 0.33 |
| 2 | -0.32 | 0.88 |
| 3 | -0.35 | 0.74 |
| 4 | -0.18 | 0.62 |
| 5 | -0.10 | 0.31 |
| 6 | -0.04 | 0.38 |
| 7 | -0.22 | 0.34 |
| 8 | -0.14 | 0.31 |
| 9 | -0.09 | 0.47 |
| 10 | -0.31 | 0.57 |
| 11 | -0.33 | 0.61 |
| 12 | -0.30 | 0.83 |